# AsC3 | Alexandria via LeMat-Bulk | PBE-GGA | relaxed
# Formation enthalpy at 0 K: 4.49 eV/f.u.
# DFT total energy: -6.96 eV/atom
# Energy relative to the lowest polymorph listed for this composition: 359 meV per atom
# Total moment: 0.0 μB per formula unit
data_AsC3
_cell_length_a 5.912
_cell_length_b 3.167
_cell_length_c 5.195
_cell_angle_alpha 90.00
_cell_angle_beta 109.69
_cell_angle_gamma 90.00
_space_group_name_H-M_alt 'C 1 m 1'
_space_group_IT_number 8
loop_
_space_group_symop_operation_xyz
'x,y,z'
'x,-y,z'
'x+1/2,y+1/2,z'
'x+1/2,-y+1/2,z'
loop_
_atom_site_label
_atom_site_fract_x
_atom_site_fract_y
_atom_site_fract_z
As1 0.000 0.000 0.000
C1 0.011 0.500 0.752
C2 0.355 0.000 0.214
C3 0.431 0.000 0.487